Sr3HOs: PBEsol geometry, SCAN.

## Properties
Calculated total energy in eV/atom: -27.7420
DOS(E_F) in states/eV/cell: 4.26

a b c (Å): 5.700 5.700 5.700
angles (deg): 90.00 90.00 90.00
Site moments in Bohr magnetons follow the coordinates.
Element x y z (fractional)
Sr: 0.000 0.500 0.000  0.01
Sr: 0.000 0.000 0.500  0.01
Sr: 0.500 0.000 0.000  0.01
Os: 0.000 0.000 0.000  0.16
H: 0.500 0.500 0.500  -0.01

***

Cs3AlCl6: PBEsol geometry, SCAN.

## Properties
Calculated total energy in eV/atom: -18.9485
DOS(E_F) in states/eV/cell: 0.00
E_form (uncorrected) in eV/atom: -2.043

a b c (Å): 7.773 7.773 7.773
angles (deg): 60.00 60.00 60.00
Element x y z (fractional)
Cs: 0.750 0.750 0.750
Cs: 0.250 0.250 0.250
Cs: 0.500 0.500 0.500
Al: 0.000 0.000 0.000
Cl: 0.211 0.789 0.211
Cl: 0.211 0.789 0.789
Cl: 0.789 0.211 0.211
Cl: 0.211 0.211 0.789
Cl: 0.789 0.789 0.211
Cl: 0.789 0.211 0.789

***

Cr4CoAs: PBEsol geometry, SCAN.

## Properties
Calculated total energy in eV/atom: -18.0266
DOS(E_F) in states/eV/cell: 3.98
ΔE_f in eV per atom: 0.48

a b c (Å): 4.644 4.644 4.644
angles (deg): 60.00 60.00 60.00
Element x y z (fractional)
As: 0.750 0.750 0.750
Co: 0.000 0.000 0.000
Cr: 0.375 0.375 0.375
Cr: 0.375 0.375 0.874
Cr: 0.874 0.375 0.375
Cr: 0.375 0.874 0.375

***

SnMo6Se8: PBEsol geometry, SCAN.

## Properties
Calculated total energy in eV/atom: -27.5707
DOS(E_F) in states/eV/cell: 8.36
E_form (uncorrected) in eV/atom: -0.513

a b c (Å): 6.722 6.722 6.722
angles (deg): 88.96 88.96 88.96
Element x y z (fractional)
Sn: 0.000 0.000 0.000
Mo: 0.578 0.440 0.765
Mo: 0.765 0.578 0.440
Mo: 0.440 0.765 0.578
Mo: 0.422 0.560 0.235
Mo: 0.235 0.422 0.560
Mo: 0.560 0.235 0.422
Se: 0.760 0.760 0.760
Se: 0.240 0.240 0.240
Se: 0.622 0.879 0.248
Se: 0.248 0.622 0.879
Se: 0.879 0.248 0.622
Se: 0.378 0.121 0.752
Se: 0.752 0.378 0.121
Se: 0.121 0.752 0.378

***

La5Ti5O17: PBEsol geometry, SCAN.

## Properties
Calculated total energy in eV/atom: -18.5233
DOS(E_F) in states/eV/cell: 7.41
E_form (uncorrected) in eV/atom: -3.649

a b c (Å): 3.936 5.472 31.127
angles (deg): 90.00 90.00 90.00
Element x y z (fractional)
La: 0.000 0.234 0.113
La: 0.500 0.766 0.613
La: 0.000 0.751 0.205
La: 0.500 0.249 0.705
La: 0.000 0.267 0.298
La: 0.500 0.733 0.798
La: 0.000 0.671 0.419
La: 0.500 0.329 0.919
La: 0.500 0.170 0.492
La: 0.000 0.830 0.992
Ti: 0.500 0.290 0.028
Ti: 0.000 0.710 0.528
Ti: 0.500 0.754 0.114
Ti: 0.000 0.246 0.614
Ti: 0.500 0.251 0.205
Ti: 0.000 0.749 0.705
Ti: 0.500 0.747 0.297
Ti: 0.000 0.253 0.797
Ti: 0.500 0.211 0.383
Ti: 0.000 0.789 0.883
O: 0.000 0.252 0.034
O: 0.500 0.748 0.534
O: 0.500 0.967 0.068
O: 0.000 0.033 0.568
O: 0.500 0.443 0.085
O: 0.000 0.557 0.585
O: 0.000 0.744 0.122
O: 0.500 0.256 0.622
O: 0.500 0.045 0.154
O: 0.000 0.955 0.654
O: 0.500 0.550 0.171
O: 0.000 0.450 0.671
O: 0.000 0.251 0.205
O: 0.500 0.749 0.705
O: 0.500 0.952 0.239
O: 0.000 0.048 0.739
O: 0.500 0.456 0.257
O: 0.000 0.544 0.757
O: 0.000 0.757 0.289
O: 0.500 0.243 0.789
O: 0.500 0.069 0.981
O: 0.000 0.931 0.481
O: 0.500 0.558 0.993
O: 0.000 0.442 0.493
O: 0.000 0.056 0.917
O: 0.500 0.944 0.417
O: 0.000 0.568 0.930
O: 0.500 0.432 0.430
O: 0.500 0.751 0.877
O: 0.000 0.249 0.377
O: 0.000 0.465 0.842
O: 0.500 0.535 0.342
O: 0.000 0.942 0.825
O: 0.500 0.058 0.325

***

BeCu2: PBEsol geometry, SCAN.

## Properties
Calculated total energy in eV/atom: -11.7154
DOS(E_F) in states/eV/cell: 1.53
ΔE_f in eV per atom: -0.13

a b c (Å): 2.599 6.349 6.349
angles (deg): 120.00 90.00 90.00
Element x y z (fractional)
Be: 0.000 0.667 0.333
Be: 0.000 0.333 0.667
Be: 0.500 0.000 0.000
Cu: 0.000 0.713 0.713
Cu: 0.000 0.000 0.287
Cu: 0.000 0.287 0.000
Cu: 0.500 0.376 0.376
Cu: 0.500 0.000 0.624
Cu: 0.500 0.624 0.000

***

Ba2Tl2Pb: PBEsol geometry, SCAN.

## Properties
Calculated total energy in eV/atom: -60.4702
Energy above the lowest structure with this stoichiometry in meV per atom: 0
DOS(E_F) in states/eV/cell: 5.85
ΔE_f in eV per atom: -0.55

a b c (Å): 5.292 8.234 8.234
angles (deg): 90.00 90.00 90.00
Element x y z (fractional)
Pb: 0.000 0.000 0.000
Pb: 0.000 0.500 0.500
Tl: 0.000 0.372 0.872
Tl: 0.000 0.872 0.628
Tl: 0.000 0.628 0.128
Tl: 0.000 0.128 0.372
Ba: 0.500 0.178 0.678
Ba: 0.500 0.678 0.822
Ba: 0.500 0.822 0.322
Ba: 0.500 0.322 0.178

***

Y5In4Pd2: PBEsol geometry, SCAN.

## Properties
Calculated total energy in eV/atom: -31.6311
DOS(E_F) in states/eV/cell: 11.22
ΔE_f in eV per atom: -0.88

a b c (Å): 3.605 7.946 17.993
angles (deg): 90.00 90.00 90.00
Element x y z (fractional)
Y: 0.500 0.242 0.781
Y: 0.500 0.758 0.219
Y: 0.500 0.258 0.281
Y: 0.500 0.742 0.719
Y: 0.500 0.118 0.582
Y: 0.500 0.882 0.418
Y: 0.500 0.382 0.082
Y: 0.500 0.618 0.918
Y: 0.500 0.000 0.000
Y: 0.500 0.500 0.500
In: 0.000 0.078 0.150
In: 0.000 0.922 0.850
In: 0.000 0.422 0.650
In: 0.000 0.578 0.350
In: 0.000 0.209 0.431
In: 0.000 0.791 0.569
In: 0.000 0.291 0.931
In: 0.000 0.709 0.069
Pd: 0.000 0.027 0.695
Pd: 0.000 0.973 0.305
Pd: 0.000 0.473 0.195
Pd: 0.000 0.527 0.805

***

PuInHg2: PBEsol geometry, SCAN.

## Properties
Calculated total energy in eV/atom: -70.0741
DOS(E_F) in states/eV/cell: 14.60
ΔE_f in eV per atom: -0.11

a b c (Å): 5.069 5.069 5.069
angles (deg): 60.00 60.00 60.00
Site moments in Bohr magnetons follow the coordinates.
Element x y z (fractional)
In: 0.000 0.000 0.000  -0.05
Hg: 0.750 0.750 0.750  0.01
Hg: 0.250 0.250 0.250  0.01
Pu: 0.500 0.500 0.500  5.43

***

Zr2CoRh: PBEsol geometry, SCAN.

## Properties
Calculated total energy in eV/atom: -28.7462
Energy above the lowest structure with this stoichiometry in meV per atom: 23
DOS(E_F) in states/eV/cell: 2.74
ΔE_f in eV per atom: -0.63

a b c (Å): 4.523 4.523 4.523
angles (deg): 60.00 60.00 60.00
Site moments in Bohr magnetons follow the coordinates.
Element x y z (fractional)
Rh: 0.500 0.500 0.500  0.21
Co: 0.000 0.000 0.000  1.58
Zr: 0.750 0.750 0.750  -0.06
Zr: 0.250 0.250 0.250  -0.06

***

SrTi2Fe: PBEsol geometry, SCAN.

## Properties
Calculated total energy in eV/atom: -17.3683
DOS(E_F) in states/eV/cell: 2.90
ΔE_f in eV per atom: 0.75

a b c (Å): 4.645 4.645 4.645
angles (deg): 60.00 60.00 60.00
Site moments in Bohr magnetons follow the coordinates.
Element x y z (fractional)
Sr: 0.500 0.500 0.500  -0.16
Fe: 0.000 0.000 0.000  2.68
Ti: 0.250 0.250 0.250  -1.23
Ti: 0.750 0.750 0.750  -1.23

***

BeCu2: PBEsol geometry, SCAN.

## Properties
Calculated total energy in eV/atom: -11.6376
DOS(E_F) in states/eV/cell: 0.70
ΔE_f in eV per atom: -0.05

a b c (Å): 2.482 2.482 5.948
angles (deg): 77.96 77.96 60.00
Element x y z (fractional)
Be: 0.000 0.000 0.000
Cu: 0.228 0.228 0.317
Cu: 0.772 0.772 0.683

***

RbW2O6: PBEsol geometry, SCAN.

## Properties
Calculated total energy in eV/atom: -24.1910
DOS(E_F) in states/eV/cell: 8.70
E_form (uncorrected) in eV/atom: -2.246

a b c (Å): 7.300 7.300 7.300
angles (deg): 60.00 60.00 60.00
Site moments in Bohr magnetons follow the coordinates.
Element x y z (fractional)
Rb: 0.250 0.250 0.250  0.00
Rb: 0.000 0.000 0.000  0.00
W: 0.125 0.625 0.625  0.42
W: 0.625 0.625 0.625  0.42
W: 0.625 0.625 0.125  0.42
W: 0.625 0.125 0.625  0.42
O: 0.564 0.936 0.936  0.01
O: 0.686 0.686 0.314  0.01
O: 0.314 0.686 0.686  0.01
O: 0.936 0.564 0.936  0.01
O: 0.936 0.936 0.564  0.01
O: 0.564 0.936 0.564  0.01
O: 0.314 0.314 0.686  0.01
O: 0.314 0.686 0.314  0.01
O: 0.686 0.314 0.686  0.01
O: 0.936 0.564 0.564  0.01
O: 0.564 0.564 0.936  0.01
O: 0.686 0.314 0.314  0.01

***

Sc2AlCo: PBEsol geometry, SCAN.

## Properties
Calculated total energy in eV/atom: -13.4415
DOS(E_F) in states/eV/cell: 3.05
ΔE_f in eV per atom: -0.06

a b c (Å): 3.121 3.121 8.574
angles (deg): 79.51 79.51 60.00
Element x y z (fractional)
Sc: 0.262 0.262 0.213
Sc: 0.738 0.738 0.787
Co: 0.000 0.000 0.000
Al: 0.500 0.500 0.500

***

CdBi8Br10O8: PBEsol geometry, SCAN.

## Properties
Calculated total energy in eV/atom: -34.5145
E_form (uncorrected) in eV/atom: -1.052

a b c (Å): 5.515 5.515 19.742
angles (deg): 81.97 90.00 90.00
Element x y z (fractional)
Cd: 0.500 0.000 0.000
Bi: 0.000 0.676 0.648
Bi: 0.500 0.177 0.647
Bi: 0.500 0.823 0.353
Bi: 0.000 0.324 0.352
Bi: 0.000 0.888 0.224
Bi: 0.500 0.388 0.224
Bi: 0.500 0.612 0.776
Bi: 0.000 0.112 0.776
Br: 0.000 0.784 0.431
Br: 0.500 0.284 0.431
Br: 0.500 0.716 0.569
Br: 0.000 0.216 0.569
Br: 0.000 0.573 0.853
Br: 0.500 0.073 0.855
Br: 0.500 0.927 0.145
Br: 0.000 0.427 0.147
Br: 0.500 0.500 0.000
Br: 0.000 0.000 0.000
O: 0.251 0.105 0.288
O: 0.749 0.607 0.288
O: 0.251 0.607 0.288
O: 0.749 0.105 0.288
O: 0.251 0.393 0.712
O: 0.749 0.895 0.712
O: 0.251 0.895 0.712
O: 0.749 0.393 0.712

***

Rb2H4Pt: PBEsol geometry, SCAN.

## Properties
Calculated total energy in eV/atom: -18.4329
DOS(E_F) in states/eV/cell: 0.00

a b c (Å): 5.746 5.746 8.172
angles (deg): 90.00 90.00 90.00
Element x y z (fractional)
H: 0.500 0.500 0.298
H: 0.000 0.000 0.798
H: 0.500 0.500 0.702
H: 0.000 0.000 0.202
H: 0.296 0.704 0.500
H: 0.704 0.296 0.500
H: 0.204 0.204 0.000
H: 0.796 0.796 0.000
Rb: 0.000 0.500 0.250
Rb: 0.500 0.000 0.750
Rb: 0.000 0.500 0.750
Rb: 0.500 0.000 0.250
Pt: 0.500 0.500 0.500
Pt: 0.000 0.000 0.000

***

Zn3In: PBEsol geometry, SCAN.

## Properties
Calculated total energy in eV/atom: -18.3893
DOS(E_F) in states/eV/cell: 1.21
ΔE_f in eV per atom: 0.09

a b c (Å): 3.176 4.532 5.163
angles (deg): 99.78 90.00 110.51
Element x y z (fractional)
Zn: 0.500 0.000 0.500
Zn: 0.242 0.484 0.708
Zn: 0.758 0.516 0.292
In: 0.000 0.000 0.000

***

Mg3Au: PBEsol geometry, SCAN.

## Properties
Calculated total energy in eV/atom: -21.5952
Energy above the lowest structure with this stoichiometry in meV per atom: 20
DOS(E_F) in states/eV/cell: 5.58
ΔE_f in eV per atom: -0.58

a b c (Å): 5.221 7.630 8.250
angles (deg): 90.00 90.00 90.00
Element x y z (fractional)
Au: 0.576 0.131 0.750
Au: 0.076 0.369 0.250
Au: 0.924 0.631 0.750
Au: 0.424 0.869 0.250
Mg: 0.910 0.022 0.250
Mg: 0.391 0.169 0.061
Mg: 0.391 0.169 0.439
Mg: 0.891 0.331 0.561
Mg: 0.891 0.331 0.939
Mg: 0.410 0.478 0.750
Mg: 0.590 0.522 0.250
Mg: 0.109 0.669 0.061
Mg: 0.109 0.669 0.439
Mg: 0.609 0.831 0.561
Mg: 0.609 0.831 0.939
Mg: 0.090 0.978 0.750

***

PdRuN2F: PBEsol geometry, SCAN.

## Properties
Calculated total energy in eV/atom: -16.5992
DOS(E_F) in states/eV/cell: 3.98
E_form (uncorrected) in eV/atom: 1.345

a b c (Å): 3.873 3.873 3.963
angles (deg): 90.00 90.00 90.00
Site moments in Bohr magnetons follow the coordinates.
Element x y z (fractional)
Ru: 0.500 0.500 0.500  2.95
N: 0.000 0.500 0.000  0.20
N: 0.500 0.000 0.000  0.20
Pd: 0.000 0.000 0.000  -0.04
F: 0.000 0.000 0.500  0.04

***

Cs3Ge4Au: PBEsol geometry, SCAN.

## Properties
Calculated total energy in eV/atom: -32.7409
ΔE_f in eV per atom: -0.37

a b c (Å): 6.101 7.098 12.932
angles (deg): 90.00 90.00 90.00
Element x y z (fractional)
Cs: 0.845 0.500 0.266
Cs: 0.845 0.500 0.734
Cs: 0.435 0.500 0.500
Cs: 0.155 0.000 0.234
Cs: 0.155 0.000 0.766
Cs: 0.565 0.000 0.000
Ge: 0.065 0.309 0.000
Ge: 0.337 0.500 0.106
Ge: 0.663 0.000 0.606
Ge: 0.065 0.691 0.000
Ge: 0.935 0.809 0.500
Ge: 0.663 0.000 0.394
Ge: 0.337 0.500 0.894
Ge: 0.935 0.191 0.500
Au: 0.699 0.500 0.000
Au: 0.301 0.000 0.500